Version one
A relaxed YHf2Au crystal, computed with PBE-GGA.

Output
As for the crystal system: tetragonal. The theoretical density is 10.7 g cm⁻³.

a b c (Å): 8.1725 8.1725 5.9770
angles (deg): 90.00 90.00 90.00
Space group I-42d (No. 122)
Unique sites:
Y (0.0000, 0.0000, 0.0000)
Hf (0.1962, 0.7500, 0.6250)
Au (0.0000, 0.0000, 0.5000)

Version two
A relaxed YHf2Au crystal, computed with PBE-GGA.

Output
As for the crystal system: cubic. The theoretical density is 12.4 g cm⁻³.

a b c (Å): 7.0134 7.0134 7.0134
angles (deg): 90.00 90.00 90.00
Space group Fm-3m (No. 225)
Unique sites:
Y (0.0000, 0.0000, 0.0000)
Hf (0.2500, 0.2500, 0.2500)
Au (0.0000, 0.0000, 0.5000)

If we sort the structures by their calculated energies, the order from most to least stable is version one, version two.

Version one
A relaxed Y2HfAu crystal, computed with PBE-GGA.

Output
As for the crystal system: cubic. The theoretical density is 9.3 g cm⁻³.

a b c (Å): 7.3413 7.3413 7.3413
angles (deg): 90.00 90.00 90.00
Space group Fm-3m (No. 225)
Unique sites:
Y (0.2500, 0.2500, 0.2500)
Hf (0.0000, 0.0000, 0.0000)
Au (0.0000, 0.0000, 0.5000)

Version two
A relaxed Y2HfAu crystal, computed with PBE-GGA.

Output
As for the crystal system: tetragonal. The theoretical density is 8.6 g cm⁻³.

a b c (Å): 8.3495 8.3495 6.1517
angles (deg): 90.00 90.00 90.00
Space group I-42d (No. 122)
Unique sites:
Y (0.2055, 0.2500, 0.1250)
Hf (0.0000, 0.0000, 0.5000)
Au (0.0000, 0.0000, 0.0000)

Version three
A relaxed Y2HfAu crystal, computed with PBE-GGA.

Output
As for the crystal system: tetragonal. The theoretical density is 9.1 g cm⁻³.

a b c (Å): 3.4413 3.4413 8.4804
angles (deg): 90.00 90.00 90.00
Space group P4/mmm (No. 123)
Unique sites:
Y (0.0000, 0.0000, 0.2302)
Hf (0.5000, 0.5000, 0.5000)
Au (0.5000, 0.5000, 0.0000)

If we sort the structures by their calculated energies, the order from most to least stable is version three, version one, version two.

Version one
A relaxed YHfAu2 crystal, computed with PBE-GGA.

Output
As for the crystal system: orthorhombic. The theoretical density is 11.6 g cm⁻³.

a b c (Å): 3.0507 5.3874 11.5181
angles (deg): 90.00 90.00 90.00
Space group Immm (No. 71)
Unique sites:
Y (0.0000, 0.0000, 0.0000)
Hf (0.0000, 0.0000, 0.5000)
Au (0.0000, 0.0000, 0.2670)

Version two
A relaxed YHfAu2 crystal, computed with PBE-GGA.

Output
As for the crystal system: tetragonal. The theoretical density is 12.7 g cm⁻³.

a b c (Å): 3.4658 3.4658 7.1747
angles (deg): 90.00 90.00 90.00
Space group P4/mmm (No. 123)
Unique sites:
Y (0.0000, 0.0000, 0.0000)
Hf (0.0000, 0.0000, 0.5000)
Au (0.5000, 0.5000, 0.2818)

Version three
A relaxed YHfAu2 crystal, computed with PBE-GGA.

Output
As for the crystal system: trigonal. The theoretical density is 12.3 g cm⁻³.

a b c (Å): 4.7436 4.7436 13.7375
angles (deg): 90.00 90.00 120.00
Space group R-3m (No. 166, hexagonal axes)
Unique sites:
Y (0.0000, 0.0000, 0.0000)
Hf (0.0000, 0.0000, 0.5000)
Au (0.0000, 0.0000, 0.2222)

If we sort the structures by their calculated energies, the order from most to least stable is version two, version three, version one.

Version one
A relaxed Hf2ZnAu4 crystal, computed with PBE-GGA.

Output
As for the crystal system: tetragonal. The theoretical density is 12.6 g cm⁻³.

a b c (Å): 4.8293 4.8293 13.7222
angles (deg): 90.00 90.00 90.00
Space group I4/mmm (No. 139)
Unique sites:
Hf (0.0000, 0.0000, 0.1152)
Zn (0.0000, 0.0000, 0.5000)
Au (0.0000, 0.0000, 0.3088)
Au (0.0000, 0.5000, 0.0000)

Version two
A relaxed Hf2ZnAu4 crystal, computed with PBE-GGA.

Output
As for the crystal system: monoclinic. The theoretical density is 15.3 g cm⁻³.

a b c (Å): 8.2730 4.7779 7.1956
angles (deg): 90.00 112.64 90.00
Space group C2/m (No. 12)
Unique sites:
Hf (0.2265, 0.0000, 0.1787)
Zn (0.0000, 0.5000, 0.0000)
Au (0.0860, 0.0000, 0.7590)
Au (0.1325, 0.5000, 0.3963)

If we sort the structures by their calculated energies, the order from most to least stable is version two, version one.